BeZn2Cr | the Alexandria database | GGA-PBE | relaxed; symmetry = Immm (71); electronic total energy = -3.740 eV per atom; magnetization = 0.003 μB per atom
1.0
-1.3035 2.1047 4.3373
1.3035 -2.1047 4.3373
1.3035 2.1047 -4.3373
Be Zn Cr
1 2 1
Direct
0.0000 0.0000 0.0000
0.2261 0.7261 0.5000
0.7739 0.2739 0.5000
0.5000 0.5000 0.0000